This record from the Alexandria database describes Tl2SeCl after structural relaxation. The functional is PBE-GGA.

Cell lengths 7.868, 7.868, 7.177 Å; angles 56.76, 56.76, 90.00 degrees
Fractional coordinates of all 8 atoms:
Tl (0.638, 0.125, 0.250)
Tl (0.112, 0.625, 0.250)
Tl (0.375, 0.362, 0.750)
Tl (0.875, 0.888, 0.750)
Se (0.000, 0.000, 0.000)
Se (0.750, 0.250, 0.500)
Cl (0.500, 0.500, 0.000)
Cl (0.250, 0.750, 0.500)

D(E_F)   0.853 states/eV per atom
Magnetization   0.0 μB per cell
Energy   -2.97 eV/atom
Distance to the lowest polymorph of the same formula   0.52 eV/f.u.

=====

This record from the Alexandria database describes Cs5Rb3I12 after structural relaxation. The functional is PBE-GGA.

Cell lengths 19.116, 19.116, 19.116 Å; angles 109.47, 109.47, 109.47 degrees
Each line ends with the local moment (μB).
Fractional coordinates of all 80 atoms:
Rb (0.750, 0.375, 0.125)  0.00
Rb (0.875, 0.750, 0.125)  0.00
Rb (0.375, 0.750, 0.625)  0.00
Rb (0.250, 0.125, 0.375)  0.00
Rb (0.875, 0.125, 0.250)  0.00
Rb (0.375, 0.625, 0.250)  0.00
Rb (0.625, 0.375, 0.750)  0.00
Rb (0.125, 0.875, 0.750)  0.00
Rb (0.750, 0.875, 0.625)  0.00
Rb (0.625, 0.250, 0.375)  0.00
Rb (0.125, 0.250, 0.875)  0.00
Rb (0.250, 0.625, 0.875)  0.00
Cs (0.125, 0.375, 0.250)  0.00
Cs (0.000, 0.500, 0.000)  0.01
Cs (0.000, 0.000, 0.000)  0.01
Cs (0.375, 0.250, 0.125)  0.00
Cs (0.500, 0.000, 0.500)  0.01
Cs (0.500, 0.500, 0.000)  0.01
Cs (0.125, 0.750, 0.375)  0.00
Cs (0.750, 0.125, 0.875)  0.00
Cs (0.750, 0.625, 0.375)  0.00
Cs (0.375, 0.125, 0.750)  0.00
Cs (0.625, 0.875, 0.250)  0.00
Cs (0.500, 0.500, 0.500)  0.01
Cs (0.500, 0.000, 0.000)  0.01
Cs (0.000, 0.000, 0.500)  0.01
Cs (0.250, 0.375, 0.625)  0.00
Cs (0.250, 0.875, 0.125)  0.00
Cs (0.000, 0.500, 0.500)  0.01
Cs (0.875, 0.250, 0.625)  0.00
Cs (0.625, 0.750, 0.875)  0.00
Cs (0.875, 0.625, 0.750)  0.00
I (0.745, 0.152, 0.074)  0.21
I (0.329, 0.574, 0.422)  0.21
I (0.926, 0.348, 0.255)  0.21
I (0.574, 0.245, 0.152)  0.21
I (0.593, 0.745, 0.671)  0.21
I (0.926, 0.578, 0.171)  0.21
I (0.329, 0.755, 0.407)  0.21
I (0.078, 0.907, 0.152)  0.21
I (0.578, 0.926, 0.671)  0.21
I (0.745, 0.593, 0.171)  0.21
I (0.755, 0.426, 0.348)  0.21
I (0.829, 0.922, 0.074)  0.21
I (0.152, 0.745, 0.574)  0.21
I (0.348, 0.422, 0.093)  0.21
I (0.093, 0.922, 0.348)  0.21
I (0.407, 0.152, 0.578)  0.21
I (0.093, 0.171, 0.245)  0.21
I (0.426, 0.671, 0.078)  0.21
I (0.829, 0.907, 0.255)  0.21
I (0.152, 0.407, 0.078)  0.21
I (0.348, 0.926, 0.755)  0.21
I (0.578, 0.652, 0.407)  0.21
I (0.922, 0.829, 0.574)  0.21
I (0.755, 0.329, 0.907)  0.21
I (0.422, 0.348, 0.593)  0.21
I (0.078, 0.171, 0.426)  0.21
I (0.245, 0.671, 0.093)  0.21
I (0.171, 0.093, 0.745)  0.21
I (0.652, 0.074, 0.245)  0.21
I (0.848, 0.593, 0.922)  0.21
I (0.574, 0.329, 0.922)  0.21
I (0.593, 0.848, 0.422)  0.21
I (0.907, 0.829, 0.755)  0.21
I (0.907, 0.078, 0.652)  0.21
I (0.848, 0.255, 0.426)  0.21
I (0.171, 0.078, 0.926)  0.21
I (0.652, 0.578, 0.907)  0.21
I (0.422, 0.074, 0.329)  0.21
I (0.255, 0.407, 0.829)  0.21
I (0.245, 0.574, 0.652)  0.21
I (0.922, 0.093, 0.848)  0.21
I (0.671, 0.245, 0.593)  0.21
I (0.426, 0.755, 0.848)  0.21
I (0.074, 0.422, 0.829)  0.21
I (0.407, 0.255, 0.329)  0.21
I (0.074, 0.652, 0.745)  0.21
I (0.671, 0.426, 0.578)  0.21
I (0.255, 0.848, 0.926)  0.21

D(E_F)   0.697 states/eV per atom
Magnetization   16.5 μB per cell
Energy   -2.31 eV/atom

=====

This record from the Alexandria database describes NdSm2Al9 after structural relaxation. The functional is PBE-GGA.

Cell lengths 5.653, 5.653, 9.404 Å; angles 72.51, 72.51, 60.00 degrees
Fractional coordinates of all 12 atoms:
Nd (0.000, 0.000, 0.000)
Sm (0.858, 0.858, 0.425)
Sm (0.142, 0.142, 0.575)
Al (0.665, 0.665, 0.006)
Al (0.335, 0.335, 0.994)
Al (0.500, 0.500, 0.500)
Al (0.413, 0.413, 0.249)
Al (0.925, 0.413, 0.249)
Al (0.413, 0.925, 0.249)
Al (0.587, 0.587, 0.751)
Al (0.587, 0.075, 0.751)
Al (0.075, 0.587, 0.751)

D(E_F)   0.403 states/eV per atom
Magnetization   0.0 μB per cell
Energy   -4.38 eV/atom

=====

This record from the Alexandria database describes SbPb2Se after structural relaxation. The functional is PBE-GGA.

Cell lengths 6.698, 6.698, 8.838 Å; angles 67.73, 67.73, 90.00 degrees
Fractional coordinates of all 8 atoms:
Pb (0.607, 0.125, 0.250)
Pb (0.143, 0.625, 0.250)
Pb (0.375, 0.393, 0.750)
Pb (0.875, 0.857, 0.750)
Sb (0.000, 0.000, 0.000)
Sb (0.750, 0.250, 0.500)
Se (0.500, 0.500, 0.000)
Se (0.250, 0.750, 0.500)

D(E_F)   0.723 states/eV per atom
Magnetization   0.0 μB per cell
Energy   -3.78 eV/atom
Distance to the lowest polymorph of the same formula   0.75 eV/f.u.

=====

This record from the Alexandria database describes BaAs3S after structural relaxation. The functional is PBE-GGA.

Cell lengths 5.034, 5.034, 5.034 Å; angles 90.00, 90.00, 90.00 degrees
Fractional coordinates of all 5 atoms:
S (0.000, 0.000, 0.000)
As (0.000, 0.500, 0.000)
As (0.000, 0.000, 0.500)
As (0.500, 0.000, 0.000)
Ba (0.500, 0.500, 0.500)

D(E_F)   0.838 states/eV per atom
Magnetization   0.0 μB per cell
Energy   -4.05 eV/atom
Distance to the lowest polymorph of the same formula   0.00 eV/f.u.

=====

This record from the Alexandria database describes MnTc4P after structural relaxation. The functional is PBE-GGA.

Cell lengths 5.103, 5.103, 5.103 Å; angles 60.00, 60.00, 60.00 degrees
Each line ends with the local moment (μB).
Fractional coordinates of all 6 atoms:
Mn (0.750, 0.750, 0.750)  3.63
Tc (0.876, 0.375, 0.375)  -0.08
Tc (0.375, 0.375, 0.876)  -0.08
Tc (0.375, 0.876, 0.375)  -0.08
Tc (0.375, 0.375, 0.375)  -0.08
P (0.000, 0.000, 0.000)  0.02

D(E_F)   0.967 states/eV per atom
Magnetization   3.4 μB per cell
Energy   -8.73 eV/atom

=====

This record from the Alexandria database describes K2Pa3TiO12 after structural relaxation. The functional is PBE-GGA.

Cell lengths 7.744, 7.744, 7.744 Å; angles 62.92, 62.92, 62.92 degrees
Each line ends with the local moment (μB).
Fractional coordinates of all 18 atoms:
K (0.663, 0.663, 0.663)  0.00
K (0.337, 0.337, 0.337)  0.00
Pa (0.500, 0.000, 0.000)  0.06
Pa (0.000, 0.500, 0.000)  0.06
Pa (0.000, 0.000, 0.500)  0.06
Ti (0.000, 0.000, 0.000)  -0.07
O (0.320, 0.320, 0.954)  0.17
O (0.943, 0.943, 0.291)  0.23
O (0.291, 0.943, 0.943)  0.23
O (0.954, 0.320, 0.320)  0.17
O (0.943, 0.291, 0.943)  0.23
O (0.320, 0.954, 0.320)  0.17
O (0.680, 0.680, 0.046)  0.17
O (0.057, 0.057, 0.709)  0.23
O (0.709, 0.057, 0.057)  0.23
O (0.046, 0.680, 0.680)  0.17
O (0.057, 0.709, 0.057)  0.23
O (0.680, 0.046, 0.680)  0.17

D(E_F)   0.683 states/eV per atom
Magnetization   2.9 μB per cell
Energy   -8.19 eV/atom

=====

This record from the Alexandria database describes Sc12ZnCo6 after structural relaxation. The functional is PBE-GGA.

Cell lengths 7.739, 7.739, 7.739 Å; angles 109.47, 109.47, 109.47 degrees
Fractional coordinates of all 19 atoms:
Sc (0.294, 0.098, 0.804)
Sc (0.294, 0.490, 0.196)
Sc (0.706, 0.510, 0.804)
Sc (0.706, 0.902, 0.196)
Sc (0.098, 0.804, 0.294)
Sc (0.490, 0.196, 0.294)
Sc (0.510, 0.804, 0.706)
Sc (0.902, 0.196, 0.706)
Sc (0.804, 0.294, 0.098)
Sc (0.196, 0.294, 0.490)
Sc (0.804, 0.706, 0.510)
Sc (0.196, 0.706, 0.902)
Zn (0.000, 0.000, 0.000)
Co (0.379, 0.500, 0.879)
Co (0.621, 0.500, 0.121)
Co (0.500, 0.879, 0.379)
Co (0.500, 0.121, 0.621)
Co (0.879, 0.379, 0.500)
Co (0.121, 0.621, 0.500)

D(E_F)   1.016 states/eV per atom
Magnetization   0.0 μB per cell
Energy   -6.57 eV/atom

=====

This record from the Alexandria database describes Na2LiSbRu after structural relaxation. The functional is PBE-GGA.

Cell lengths 4.633, 4.880, 4.633 Å; angles 90.00, 90.00, 90.00 degrees
Each line ends with the local moment (μB).
Fractional coordinates of all 5 atoms:
Sb (0.000, 0.500, 0.000)  0.00
Li (0.000, 0.000, 0.000)  0.00
Na (0.000, 0.000, 0.500)  -0.01
Na (0.500, 0.000, 0.000)  -0.01
Ru (0.500, 0.500, 0.500)  1.71

D(E_F)   0.993 states/eV per atom
Magnetization   1.7 μB per cell
Energy   -2.90 eV/atom

=====

This record from the Alexandria database describes YAl2Ag after structural relaxation. The functional is PBE-GGA.

Cell lengths 9.790, 9.790, 9.790 Å; angles 18.45, 18.45, 18.45 degrees
Fractional coordinates of all 4 atoms:
Y (0.501, 0.501, 0.501)
Al (0.001, 0.001, 0.001)
Al (0.258, 0.258, 0.258)
Ag (0.741, 0.741, 0.741)

D(E_F)   0.502 states/eV per atom
Magnetization   0.0 μB per cell
Energy   -4.17 eV/atom

=====

This record from the Alexandria database describes Fe2HgIr after structural relaxation. The functional is PBE-GGA.

Cell lengths 4.700, 4.700, 4.829 Å; angles 79.68, 79.68, 35.62 degrees
Each line ends with the local moment (μB).
Fractional coordinates of all 4 atoms:
Fe (0.994, 0.994, 0.040)  2.77
Fe (0.506, 0.506, 0.460)  2.77
Hg (0.750, 0.750, 0.750)  -0.01
Ir (0.250, 0.250, 0.250)  0.46

D(E_F)   1.008 states/eV per atom
Magnetization   6.0 μB per cell
Energy   -6.16 eV/atom

=====

This record from the Alexandria database describes SmB6N6 after structural relaxation. The functional is PBE-GGA.

Cell lengths 4.676, 4.676, 4.676 Å; angles 90.00, 90.00, 90.00 degrees
Fractional coordinates of all 13 atoms:
Sm (0.500, 0.500, 0.500)
B (0.261, 0.000, 0.500)
B (0.000, 0.500, 0.261)
B (0.500, 0.739, 0.000)
B (0.739, 0.000, 0.500)
B (0.000, 0.500, 0.739)
B (0.500, 0.261, 0.000)
N (0.000, 0.250, 0.500)
N (0.000, 0.750, 0.500)
N (0.500, 0.000, 0.750)
N (0.750, 0.500, 0.000)
N (0.500, 0.000, 0.250)
N (0.250, 0.500, 0.000)

D(E_F)   0.260 states/eV per atom
Magnetization   0.0 μB per cell
Energy   -7.49 eV/atom